Compound: TmCrSbO6
Source: the Alexandria database
Functional: PBE with a Hubbard U
Structure: optimized geometry

```
TmCrSbO6
1.0
5.3905 0.0000 0.0000
-2.6952 4.6683 0.0000
0.0000 0.0000 8.5768
Tm Cr Sb O
2 2 2 12
Direct
0.3333 0.6667 0.2500
0.6667 0.3333 0.7500
0.0000 0.0000 0.0000
0.0000 0.0000 0.5000
0.3333 0.6667 0.7500
0.6667 0.3333 0.2500
0.0301 0.3386 0.6237
0.0301 0.6916 0.8763
0.3084 0.3386 0.8763
0.3084 0.9699 0.6237
0.3386 0.0301 0.1237
0.3386 0.3084 0.3763
0.6614 0.6916 0.6237
0.6614 0.9699 0.8763
0.6916 0.0301 0.3763
0.6916 0.6614 0.1237
0.9699 0.3084 0.1237
0.9699 0.6614 0.3763
```


Compound: Tm2CrSbO8
Source: the Alexandria database
Functional: PBE with a Hubbard U
Structure: optimized geometry

```
Tm2CrSbO8
1.0
3.3797 -3.5097 0.0000
3.3797 3.5097 0.0000
0.0000 0.0000 6.4174
Tm Cr Sb O
2 1 1 8
Direct
0.0000 0.0000 0.2482
0.0000 0.0000 0.7518
0.5000 0.5000 0.0000
0.5000 0.5000 0.5000
0.2088 0.2088 0.5000
0.2344 0.2344 0.0000
0.3200 0.6800 0.2449
0.3200 0.6800 0.7551
0.6800 0.3200 0.2449
0.6800 0.3200 0.7551
0.7656 0.7656 0.0000
0.7912 0.7912 0.5000
```


Compound: V3Cr3Sb2O16
Source: the Alexandria database
Functional: PBE with a Hubbard U
Structure: optimized geometry

```
V3Cr3Sb2O16
1.0
5.9420 0.0000 0.0000
2.9234 5.1763 0.0000
0.0859 -0.0248 9.3218
V Cr Sb O
3 3 2 16
Direct
0.0000 0.0000 0.0000
0.1707 0.6724 0.5099
0.5081 0.4997 0.0178
0.1712 0.1797 0.5037
0.5062 0.0090 0.0012
0.6799 0.6699 0.5041
0.6695 0.1658 0.2862
0.9952 0.5051 0.7843
0.9996 0.9971 0.3993
0.0209 0.5184 0.3994
0.1573 0.1743 0.8979
0.1607 0.6674 0.8993
0.2940 0.3737 0.6344
0.3297 0.8326 0.5978
0.3386 0.8281 0.0976
0.3819 0.3157 0.1357
0.4997 0.4959 0.4018
0.5049 0.9986 0.3902
0.6675 0.6723 0.8920
0.6696 0.1900 0.9005
0.8144 0.3190 0.1385
0.8247 0.8846 0.1282
0.8613 0.3614 0.6322
0.8716 0.7981 0.6325
```


Compound: V2Cr3Sb3O16
Source: the Alexandria database
Functional: PBE with a Hubbard U
Structure: optimized geometry

```
V2Cr3Sb3O16
1.0
5.2708 -3.0610 0.0000
5.2708 3.0610 0.0000
-0.0637 0.0000 9.0675
V Cr Sb O
2 3 3 16
Direct
0.0000 0.0000 0.0000
0.6780 0.6780 0.5252
0.1885 0.6869 0.7299
0.5204 0.5204 0.2342
0.6869 0.1885 0.7299
0.0167 0.5200 0.2376
0.1835 0.1835 0.7378
0.5200 0.0167 0.2376
0.0031 0.5198 0.6257
0.0206 0.0206 0.6237
0.1762 0.6863 0.1276
0.1820 0.1820 0.1283
0.2996 0.8738 0.8710
0.3524 0.3524 0.8343
0.3528 0.3528 0.3459
0.4034 0.8256 0.3649
0.5198 0.0031 0.6257
0.5238 0.5238 0.6240
0.6863 0.1762 0.1276
0.6862 0.6862 0.1192
0.8256 0.4034 0.3649
0.8300 0.8300 0.3709
0.8738 0.2996 0.8710
0.8762 0.8762 0.8645
```


Compound: VCr2SbO6
Source: the Alexandria database
Functional: PBE with a Hubbard U
Structure: optimized geometry

```
VCr2SbO6
1.0
5.3231 0.0000 0.0000
2.6333 4.6412 0.0000
2.6186 1.5109 4.6388
V Cr Sb O
1 2 1 6
Direct
0.0000 0.0000 0.0000
0.2922 0.3126 0.0953
0.7907 0.8017 0.6107
0.5106 0.5085 0.4544
0.0813 0.4256 0.8097
0.1313 0.9726 0.2977
0.4022 0.7036 0.8323
0.5803 0.1562 0.3121
0.6826 0.1034 0.8074
0.9438 0.5925 0.3116
```


Compound: Y2CrSbO6
Source: the Alexandria database
Functional: PBE with a Hubbard U
Structure: optimized geometry

```
Y2CrSbO6
1.0
5.2932 0.0000 0.0000
0.0000 5.2932 0.0000
0.0000 0.0000 5.2786
Y Cr Sb O
2 1 1 6
Direct
0.0000 0.5000 0.0000
0.5000 0.0000 0.0000
0.0000 0.0000 0.6137
0.5000 0.5000 0.5659
0.0000 0.0000 0.2397
0.2446 0.2446 0.7513
0.2446 0.7554 0.7513
0.5000 0.5000 0.1373
0.7554 0.2446 0.7513
0.7554 0.7554 0.7513
```


Compound: ZrCr2SbO8
Source: the Alexandria database
Functional: PBE with a Hubbard U
Structure: optimized geometry

```
ZrCr2SbO8
1.0
3.3123 -3.3154 0.0000
3.3123 3.3154 0.0000
0.0000 0.0000 6.3196
Zr Cr Sb O
1 2 1 8
Direct
0.0000 0.0000 0.0000
0.5000 0.5000 0.2506
0.5000 0.5000 0.7494
0.0000 0.0000 0.5000
0.1988 0.8012 0.2606
0.1988 0.8012 0.7394
0.3063 0.3063 0.5000
0.3169 0.3169 0.0000
0.6831 0.6831 0.0000
0.6937 0.6937 0.5000
0.8012 0.1988 0.2606
0.8012 0.1988 0.7394
```


Compound: ZrCrSbO6
Source: the Alexandria database
Functional: PBE with a Hubbard U
Structure: optimized geometry

```
ZrCrSbO6
1.0
4.7766 0.0000 0.0000
0.0000 4.7766 0.0000
0.0000 0.0000 9.4879
Zr Cr Sb O
2 2 2 12
Direct
0.0000 0.0000 0.0000
0.5000 0.5000 0.5000
0.0000 0.0000 0.3301
0.5000 0.5000 0.8301
0.0000 0.0000 0.6641
0.5000 0.5000 0.1641
0.1860 0.1860 0.4985
0.1967 0.1967 0.8235
0.2006 0.2006 0.1674
0.2994 0.7006 0.6674
0.3033 0.6967 0.3235
0.3140 0.6860 0.9985
0.6860 0.3140 0.9985
0.6967 0.3033 0.3235
0.7006 0.2994 0.6674
0.7994 0.7994 0.1674
0.8033 0.8033 0.8235
0.8140 0.8140 0.4985
```


Compound: Sc2CrO
Source: the Alexandria database
Functional: PBE with a Hubbard U
Structure: optimized geometry

```
Sc2CrO
1.0
1.7001 0.9815 8.0311
-1.7001 0.9815 8.0311
0.0000 -1.9631 8.0311
Sc Cr O
2 1 1
Direct
0.0779 0.0779 0.0779
0.9221 0.9221 0.9221
0.5000 0.5000 0.5000
0.0000 0.0000 0.0000
```


Compound: Sc2CrO4
Source: the Alexandria database
Functional: PBE with a Hubbard U
Structure: optimized geometry

```
Sc2CrO4
1.0
-3.2388 3.2388 4.2027
3.2388 -3.2388 4.2027
3.2388 3.2388 -4.2027
Sc Cr O
4 2 8
Direct
0.0000 0.0000 0.0000
0.0000 0.0000 0.5000
0.0000 0.5000 0.0000
0.5000 0.0000 0.5000
0.3750 0.6250 0.7500
0.6250 0.3750 0.2500
0.2147 0.7489 0.4658
0.2169 0.2511 0.9658
0.2511 0.2169 0.4658
0.2511 0.7853 0.0342
0.7489 0.2147 0.9658
0.7489 0.7831 0.5342
0.7831 0.7489 0.0342
0.7853 0.2511 0.5342
```


Compound: ScCr2O
Source: the Alexandria database
Functional: PBE with a Hubbard U
Structure: optimized geometry

```
ScCr2O
1.0
-3.0938 3.0938 4.3826
3.0938 -3.0938 4.3826
3.0938 3.0938 -4.3826
Sc Cr O
2 4 2
Direct
0.0000 0.0000 0.0000
0.7500 0.2500 0.5000
0.3211 0.6250 0.1961
0.3750 0.5711 0.6961
0.4289 0.1250 0.8039
0.8750 0.6789 0.3039
0.2500 0.7500 0.5000
0.5000 0.5000 0.0000
```


Sc3CrO6, optimized geometry, DFT PBE with a Hubbard U; energy relative to the lowest polymorph listed for this composition = 0 meV per atom
1.0
4.4301 2.5577 3.4485
-4.4301 2.5577 3.4485
0.0000 -5.1155 3.4485
Sc Cr O
6 2 12
Direct
0.0611 0.7519 0.5695
0.2481 0.4305 0.9389
0.4305 0.9389 0.2481
0.5695 0.0611 0.7519
0.7519 0.5695 0.0611
0.9389 0.2481 0.4305
0.0000 0.0000 0.0000
0.5000 0.5000 0.5000
0.0366 0.6904 0.9045
0.0955 0.9634 0.3096
0.1907 0.4261 0.5864
0.3096 0.0955 0.9634
0.4136 0.8093 0.5739
0.4261 0.5864 0.1907
0.5739 0.4136 0.8093
0.5864 0.1907 0.4261
0.6904 0.9045 0.0366
0.8093 0.5739 0.4136
0.9045 0.0366 0.6904
0.9634 0.3096 0.0955


Compound: Sc3CrO
Source: the Alexandria database
Functional: PBE with a Hubbard U
Structure: optimized geometry

```
Sc3CrO
1.0
4.9527 0.0000 0.0000
0.0000 4.9527 0.0000
0.0000 0.0000 4.9527
Sc Cr O
3 1 1
Direct
0.0000 0.0000 0.5000
0.0000 0.5000 0.0000
0.5000 0.0000 0.0000
0.0000 0.0000 0.0000
0.5000 0.5000 0.5000
```


Compound: ScCrO4
Source: the Alexandria database
Functional: PBE with a Hubbard U
Structure: optimized geometry

```
ScCrO4
1.0
2.8352 -4.3188 0.0000
2.8352 4.3188 0.0000
0.0000 0.0000 6.6627
Sc Cr O
2 2 8
Direct
0.0000 0.0000 0.0000
0.0000 0.0000 0.5000
0.3562 0.6438 0.7500
0.6438 0.3562 0.2500
0.2126 0.2701 0.7500
0.2366 0.7634 0.5503
0.2366 0.7634 0.9497
0.2701 0.2126 0.2500
0.7299 0.7874 0.7500
0.7634 0.2366 0.0503
0.7634 0.2366 0.4497
0.7874 0.7299 0.2500
```


ScCrO2, optimized geometry, DFT PBE with a Hubbard U; energy relative to the lowest polymorph listed for this composition = 229 meV per atom
1.0
-2.4573 2.4573 4.9027
2.4573 -2.4573 4.9027
2.4573 2.4573 -4.9027
Sc Cr O
2 2 4
Direct
0.0000 0.0000 0.0000
0.7500 0.2500 0.5000
0.2500 0.7500 0.5000
0.5000 0.5000 0.0000
0.0837 0.6250 0.9587
0.3750 0.3337 0.4587
0.6663 0.1250 0.0413
0.8750 0.9163 0.5413


Sc3CrO6, optimized geometry, DFT PBE with a Hubbard U; energy relative to the lowest polymorph listed for this composition = 143 meV per atom
1.0
4.1816 -5.1632 0.0000
4.1816 5.1632 0.0000
0.0000 0.0000 5.2438
Sc Cr O
6 2 12
Direct
0.1017 0.8983 0.5000
0.1752 0.4117 0.4461
0.4117 0.1752 0.9461
0.5883 0.8248 0.4461
0.8248 0.5883 0.9461
0.8983 0.1017 0.0000
0.3521 0.6479 0.9251
0.6479 0.3521 0.4251
0.0920 0.5995 0.7394
0.1453 0.1785 0.7278
0.1785 0.1453 0.2278
0.2767 0.7233 0.2656
0.4005 0.9080 0.7394
0.4795 0.5205 0.6159
0.5205 0.4795 0.1159
0.5995 0.0920 0.2394
0.7233 0.2767 0.7656
0.8215 0.8547 0.7278
0.8547 0.8215 0.2278
0.9080 0.4005 0.2394


ScCrO2, optimized geometry, DFT PBE with a Hubbard U; energy relative to the lowest polymorph listed for this composition = 1146 meV per atom
1.0
0.0000 2.6889 2.6889
2.6889 0.0000 2.6889
2.6889 2.6889 0.0000
Sc Cr O
1 1 2
Direct
0.0000 0.0000 0.0000
0.5000 0.5000 0.5000
0.2500 0.2500 0.2500
0.7500 0.7500 0.7500


Compound: Sc2CrO
Source: the Alexandria database
Functional: PBE with a Hubbard U
Structure: optimized geometry

```
Sc2CrO
1.0
-3.1415 3.1415 4.0393
3.1415 -3.1415 4.0393
3.1415 3.1415 -4.0393
Sc Cr O
4 2 2
Direct
0.0050 0.6250 0.8800
0.3750 0.2550 0.3800
0.7450 0.1250 0.1200
0.8750 0.9950 0.6200
0.2500 0.7500 0.5000
0.5000 0.5000 0.0000
0.0000 0.0000 0.0000
0.7500 0.2500 0.5000
```


Compound: ScCr2O4
Source: the Alexandria database
Functional: PBE with a Hubbard U
Structure: optimized geometry

```
ScCr2O4
1.0
5.5951 -1.5943 0.0000
5.5951 1.5943 0.0000
-2.2124 0.0000 4.6304
Sc Cr O
1 2 4
Direct
0.0000 0.0000 0.0000
0.2852 0.2852 0.2962
0.7148 0.7148 0.7038
0.1412 0.1412 0.4466
0.3761 0.3761 0.0300
0.6239 0.6239 0.9700
0.8588 0.8588 0.5534
```


ScCrO2, optimized geometry, DFT PBE with a Hubbard U; energy relative to the lowest polymorph listed for this composition = 0 meV per atom
1.0
1.5995 0.9235 6.0559
-1.5995 0.9235 6.0559
0.0000 -1.8469 6.0559
Sc Cr O
1 1 2
Direct
0.0000 0.0000 0.0000
0.5000 0.5000 0.5000
0.3906 0.3906 0.3906
0.6093 0.6093 0.6093


Let's list DFT total energy in order: -7.01 -7.26 -7.23 -7.01 -7.35 -7.64 -7.61 -7.74 -6.64 -8.60 -6.89 -8.79 -5.44 -7.78 -8.14 -8.65 -7.22 -7.39 -8.12 -8.37 eV per atom.